# 1
Here is a geometry-optimized TeRuCl2 structure from the Alexandria database. Energies are from PBE-GGA.

Results
V: 29.3 Å³/atom
formation energy from raw total energies: 0.535 eV/atom
total magnetic moment: 0.99 μB per formula unit
mass density: 4.24 Mg/m³
E: -3.49 eV/atom

abc: 6.8798 6.8798 6.8798
angles: 118.75 118.75 92.19
With the nearest neighbours (Å) after each atom.
Positions (direct):
1 Te 0.0000 0.0000 0.0000  4 Cl 3.45
2 Te 0.7500 0.2500 0.5000  4 Cl 3.45
3 Ru 0.2500 0.7500 0.5000  4 Cl 2.26
4 Ru 0.5000 0.5000 0.0000  4 Cl 2.26
5 Cl 0.2634 0.6250 0.1384  2 Ru 2.26
6 Cl 0.3750 0.5134 0.6384  2 Ru 2.26
7 Cl 0.4866 0.1250 0.8616  2 Ru 2.26
8 Cl 0.8750 0.7366 0.3616  2 Ru 2.26



# 2
Here is a geometry-optimized Te3RuCl structure from the Alexandria database. Energies are from PBE-GGA.

Results
V: 29.9 Å³/atom
formation energy from raw total energies: 1.386 eV/atom
total magnetic moment: 3.25 μB per formula unit
mass density: 5.78 Mg/m³
E: -2.72 eV/atom

abc: 5.3053 5.3053 5.3053
angles: 90.00 90.00 90.00
With the nearest neighbours (Å) after each atom.
Positions (direct):
1 Te 0.0000 0.0000 0.5000  2 Cl 2.65
2 Te 0.0000 0.5000 0.0000  2 Cl 2.65
3 Te 0.5000 0.0000 0.0000  2 Cl 2.65
4 Ru 0.5000 0.5000 0.5000  12 Te 3.75
5 Cl 0.0000 0.0000 0.0000  6 Te 2.65